1.
Below is Ce4S3N after structural relaxation, with properties calculated at the PBE-GGA level.

Computed properties:
The density of states at the Fermi level comes out at 11.658 states/eV per cell. The space group is No. 221. The calculation puts the raw formation energy at -1.762 eV/atom.

Structure (CIF):
```
data_Ce4S3N
_chemical_formula_sum 'Ce4 S3 N1'
_cell_length_a 5.538
_cell_length_b 5.538
_cell_length_c 5.538
_cell_angle_alpha 90.00
_cell_angle_beta 90.00
_cell_angle_gamma 90.00
_space_group_name_H-M_alt 'P 1'
_space_group_IT_number 1
loop_
_space_group_symop_operation_xyz
'x,y,z'
loop_
_atom_site_label
_atom_site_type_symbol
_atom_site_fract_x
_atom_site_fract_y
_atom_site_fract_z
_atom_site_occupancy
Ce1 Ce 0.000 0.000 0.500 1
Ce2 Ce 0.000 0.500 0.000 1
Ce3 Ce 0.500 0.500 0.500 1
Ce4 Ce 0.500 0.000 0.000 1
N1 N 0.000 0.000 0.000 1
S1 S 0.500 0.500 0.000 1
S2 S 0.000 0.500 0.500 1
S3 S 0.500 0.000 0.500 1
```

---

2.
Below is CaBe2CuRh after structural relaxation, with properties calculated at the PBE-GGA level.

Computed properties:
The density of states at the Fermi level comes out at 1.137 states/eV per cell. The calculation puts the energy of formation from the pure elements at 0.00 eV/atom. The space group is No. 123.

Structure (CIF):
```
data_CaBe2CuRh
_chemical_formula_sum 'Ca1 Be2 Cu1 Rh1'
_cell_length_a 4.227
_cell_length_b 4.838
_cell_length_c 4.227
_cell_angle_alpha 90.00
_cell_angle_beta 90.00
_cell_angle_gamma 90.00
_space_group_name_H-M_alt 'P 1'
_space_group_IT_number 1
loop_
_space_group_symop_operation_xyz
'x,y,z'
loop_
_atom_site_label
_atom_site_type_symbol
_atom_site_fract_x
_atom_site_fract_y
_atom_site_fract_z
_atom_site_occupancy
Ca1 Ca 0.500 0.500 0.500 1
Cu1 Cu 0.000 0.500 0.000 1
Be1 Be 0.500 0.000 0.000 1
Rh1 Rh 0.000 0.000 0.000 1
Be2 Be 0.000 0.000 0.500 1
```

---

3.
Below is SrSm2YSe4 after structural relaxation, with properties calculated at the PBE-GGA level.

Computed properties:
The density of states at the Fermi level comes out at 3.082 states/eV per cell. The space group is No. 10. The calculation puts the raw formation energy at -1.834 eV/atom.

Structure (CIF):
```
data_SrSm2YSe4
_chemical_formula_sum 'Sr1 Sm2 Y1 Se4'
_cell_length_a 4.181
_cell_length_b 7.306
_cell_length_c 7.289
_cell_angle_alpha 70.95
_cell_angle_beta 90.00
_cell_angle_gamma 90.00
_space_group_name_H-M_alt 'P 1'
_space_group_IT_number 1
loop_
_space_group_symop_operation_xyz
'x,y,z'
loop_
_atom_site_label
_atom_site_type_symbol
_atom_site_fract_x
_atom_site_fract_y
_atom_site_fract_z
_atom_site_occupancy
Sr1 Sr 0.500 0.500 0.000 1
Sm1 Sm 0.500 0.000 0.500 1
Se1 Se 0.000 0.246 0.259 1
Y1 Y 0.000 0.500 0.500 1
Se2 Se 0.500 0.747 0.258 1
Se3 Se 0.500 0.253 0.742 1
Se4 Se 0.000 0.754 0.741 1
Sm2 Sm 0.000 0.000 0.000 1
```

---

4.
Below is SmHo6Al2 after structural relaxation, with properties calculated at the PBE-GGA level.

Computed properties:
The density of states at the Fermi level comes out at 11.041 states/eV per cell. Its energy above the lowest structure with this stoichiometry is 671 meV per atom. The calculation puts the energy of formation from the pure elements at 0.51 eV/atom. The space group is No. 121.

Structure (CIF):
```
data_SmHo6Al2
_chemical_formula_sum 'Sm1 Ho6 Al2'
_cell_length_a 4.761
_cell_length_b 4.761
_cell_length_c 14.198
_cell_angle_alpha 99.65
_cell_angle_beta 99.65
_cell_angle_gamma 90.00
_space_group_name_H-M_alt 'P 1'
_space_group_IT_number 1
loop_
_space_group_symop_operation_xyz
'x,y,z'
loop_
_atom_site_label
_atom_site_type_symbol
_atom_site_fract_x
_atom_site_fract_y
_atom_site_fract_z
_atom_site_occupancy
Al1 Al 0.814 0.814 0.628 1
Ho1 Ho 0.250 0.750 0.500 1
Ho2 Ho 0.148 0.148 0.792 1
Ho3 Ho 0.750 0.250 0.500 1
Al2 Al 0.186 0.186 0.372 1
Sm1 Sm 0.500 0.500 0.000 1
Ho4 Ho 0.356 0.852 0.208 1
Ho5 Ho 0.852 0.356 0.208 1
Ho6 Ho 0.644 0.644 0.792 1
```

---

5.
Below is NaTbPr2 after structural relaxation, with properties calculated at the PBE-GGA level.

Computed properties:
The density of states at the Fermi level comes out at 4.783 states/eV per cell. Its energy above the lowest structure with this stoichiometry is 94 meV per atom. The calculation puts the energy of formation from the pure elements at 0.18 eV/atom. The space group is No. 123.

Structure (CIF):
```
data_NaTbPr2
_chemical_formula_sum 'Na1 Tb1 Pr2'
_cell_length_a 3.771
_cell_length_b 6.020
_cell_length_c 6.020
_cell_angle_alpha 90.00
_cell_angle_beta 90.00
_cell_angle_gamma 90.00
_space_group_name_H-M_alt 'P 1'
_space_group_IT_number 1
loop_
_space_group_symop_operation_xyz
'x,y,z'
loop_
_atom_site_label
_atom_site_type_symbol
_atom_site_fract_x
_atom_site_fract_y
_atom_site_fract_z
_atom_site_occupancy
Tb1 Tb 0.500 0.000 0.000 1
Pr1 Pr 0.000 0.500 0.000 1
Pr2 Pr 0.000 0.000 0.500 1
Na1 Na 0.500 0.500 0.500 1
```

---

6.
Below is SiGe3Cl after structural relaxation, with properties calculated at the PBE-GGA level.

Computed properties:
The density of states at the Fermi level comes out at 2.938 states/eV per cell. Its energy above the lowest structure with this stoichiometry is 417 meV per atom. The space group is No. 221. The calculation puts the raw formation energy at 0.984 eV/atom.

Structure (CIF):
```
data_SiGe3Cl
_chemical_formula_sum 'Si1 Ge3 Cl1'
_cell_length_a 4.961
_cell_length_b 4.961
_cell_length_c 4.961
_cell_angle_alpha 90.00
_cell_angle_beta 90.00
_cell_angle_gamma 90.00
_space_group_name_H-M_alt 'P 1'
_space_group_IT_number 1
loop_
_space_group_symop_operation_xyz
'x,y,z'
loop_
_atom_site_label
_atom_site_type_symbol
_atom_site_fract_x
_atom_site_fract_y
_atom_site_fract_z
_atom_site_occupancy
Ge1 Ge 0.000 0.500 0.000 1
Ge2 Ge 0.500 0.000 0.000 1
Ge3 Ge 0.000 0.000 0.500 1
Cl1 Cl 0.000 0.000 0.000 1
Si1 Si 0.500 0.500 0.500 1
```